This record from Alexandria describes an optimized crystal structure of Al2HgCl. The functional is PBEsol.

Values from the calculation:
Symmetry: No. 166
Calculated total energy, eV/cell: -11.0
Excess energy over the best structure of this formula in the dataset, meV per atom: 9.0

abc: 9.1500 9.1500 9.1500
angles: 20.01 20.01 20.01
With the nearest neighbours (Å) after each atom.
Element x y z (fractional)
Al1 0.2449 0.2449 0.2449  3 Cl 2.79, 3 Hg 3.00
Al2 0.7551 0.7551 0.7551  3 Cl 2.79, 3 Hg 3.00
Hg1 0.0000 0.0000 0.0000  6 Al 3.00, 6 Hg 3.18
Cl1 0.5000 0.5000 0.5000  6 Al 2.79

---

This record from Alexandria describes an optimized crystal structure of Na2AlHgCl6. The functional is PBEsol.

Values from the calculation:
Symmetry: No. 225
Calculated total energy, eV/cell: -31.6

abc: 7.1913 7.1913 7.1913
angles: 60.00 60.00 60.00
With the nearest neighbours (Å) after each atom.
Element x y z (fractional)
Na1 0.2500 0.2500 0.2500  12 Cl 3.60
Na2 0.7500 0.7500 0.7500  12 Cl 3.60
Al1 0.0000 0.0000 0.0000  6 Cl 2.32
Hg1 0.5000 0.5000 0.5000  6 Cl 2.76
Cl1 0.2283 0.2283 0.7717  1 Al 2.32
Cl2 0.2283 0.7717 0.2283  1 Al 2.32
Cl3 0.2283 0.7717 0.7717  1 Al 2.32
Cl4 0.7717 0.2283 0.2283  1 Al 2.32
Cl5 0.7717 0.2283 0.7717  1 Al 2.32
Cl6 0.7717 0.7717 0.2283  1 Al 2.32

---

This record from Alexandria describes an optimized crystal structure of AlHgSCl2. The functional is PBEsol.

Values from the calculation:
Symmetry: No. 123
Calculated total energy, eV/cell: -16.1

abc: 4.5696 4.5696 4.8625
angles: 90.00 90.00 90.00
With the nearest neighbours (Å) after each atom.
Element x y z (fractional)
Al1 0.0000 0.0000 0.0000  4 Cl 2.28, 2 S 2.43
Hg1 0.5000 0.5000 0.5000  4 S 3.23, 8 Cl 3.34
S1 0.0000 0.0000 0.5000  2 Al 2.43
Cl1 0.0000 0.5000 0.0000  2 Al 2.28
Cl2 0.5000 0.0000 0.0000  2 Al 2.28

---

This record from Alexandria describes an optimized crystal structure of Na8Al6Si6IClO24. The functional is PBEsol.

Values from the calculation:
Symmetry: No. 195
Calculated total energy, eV/cell: -322.5

abc: 8.9697 8.9697 8.9697
angles: 90.00 90.00 90.00
With the nearest neighbours (Å) after each atom.
Element x y z (fractional)
Na1 0.1806 0.1806 0.1806  3 O 2.37
Na2 0.1806 0.8194 0.8194  3 O 2.37
Na3 0.3072 0.3072 0.6928  3 O 2.31
Na4 0.3072 0.6928 0.3072  3 O 2.31
Na5 0.6928 0.3072 0.3072  3 O 2.31
Na6 0.6928 0.6928 0.6928  3 O 2.31
Na7 0.8194 0.1806 0.8194  3 O 2.37
Na8 0.8194 0.8194 0.1806  3 O 2.37
Al1 0.0000 0.2504 0.5000  4 O 1.75
Al2 0.0000 0.7496 0.5000  4 O 1.75
Al3 0.2504 0.5000 0.0000  4 O 1.75
Al4 0.5000 0.0000 0.2504  4 O 1.75
Al5 0.5000 0.0000 0.7496  4 O 1.75
Al6 0.7496 0.5000 0.0000  4 O 1.75
Si1 0.0000 0.5000 0.2493  4 O 1.63
Si2 0.0000 0.5000 0.7507  4 O 1.63
Si3 0.2493 0.0000 0.5000  4 O 1.63
Si4 0.5000 0.2493 0.0000  4 O 1.63
Si5 0.5000 0.7507 0.0000  4 O 1.63
Si6 0.7507 0.0000 0.5000  4 O 1.63
I1 0.5000 0.5000 0.5000  4 Na 3.00
Cl1 0.0000 0.0000 0.0000  4 Na 2.81
O1 0.0585 0.3592 0.6510  1 Si 1.63, 1 Al 1.75
O2 0.0585 0.6408 0.3490  1 Si 1.63, 1 Al 1.75
O3 0.1401 0.4402 0.1495  1 Si 1.63, 1 Al 1.75
O4 0.1401 0.5598 0.8505  1 Si 1.63, 1 Al 1.75
O5 0.1495 0.1401 0.4402  1 Si 1.63, 1 Al 1.75
O6 0.1495 0.8599 0.5598  1 Si 1.63, 1 Al 1.75
O7 0.3490 0.0585 0.6408  1 Si 1.63, 1 Al 1.75
O8 0.3490 0.9415 0.3592  1 Si 1.63, 1 Al 1.75
O9 0.3592 0.3490 0.9415  1 Si 1.63, 1 Al 1.75
O10 0.3592 0.6510 0.0585  1 Si 1.63, 1 Al 1.75
O11 0.4402 0.1495 0.1401  1 Si 1.63, 1 Al 1.75
O12 0.4402 0.8505 0.8599  1 Si 1.63, 1 Al 1.75
O13 0.5598 0.1495 0.8599  1 Si 1.63, 1 Al 1.75
O14 0.5598 0.8505 0.1401  1 Si 1.63, 1 Al 1.75
O15 0.6408 0.3490 0.0585  1 Si 1.63, 1 Al 1.75
O16 0.6408 0.6510 0.9415  1 Si 1.63, 1 Al 1.75
O17 0.6510 0.0585 0.3592  1 Si 1.63, 1 Al 1.75
O18 0.6510 0.9415 0.6408  1 Si 1.63, 1 Al 1.75
O19 0.8505 0.1401 0.5598  1 Si 1.63, 1 Al 1.75
O20 0.8505 0.8599 0.4402  1 Si 1.63, 1 Al 1.75
O21 0.8599 0.4402 0.8505  1 Si 1.63, 1 Al 1.75
O22 0.8599 0.5598 0.1495  1 Si 1.63, 1 Al 1.75
O23 0.9415 0.3592 0.3490  1 Si 1.63, 1 Al 1.75
O24 0.9415 0.6408 0.6510  1 Si 1.63, 1 Al 1.75

---

This record from Alexandria describes an optimized crystal structure of AlSICl2. The functional is PBEsol.

Values from the calculation:
Symmetry: No. 123
Calculated total energy, eV/cell: -16.7

abc: 4.4922 4.4922 5.3009
angles: 90.00 90.00 90.00
With the nearest neighbours (Å) after each atom.
Element x y z (fractional)
Al1 0.0000 0.0000 0.0000  4 Cl 2.25
S1 0.0000 0.0000 0.5000  2 Al 2.65
I1 0.5000 0.5000 0.5000  4 S 3.18, 8 Cl 3.47
Cl1 0.0000 0.5000 0.0000  2 Al 2.25
Cl2 0.5000 0.0000 0.0000  2 Al 2.25

---

This record from Alexandria describes an optimized crystal structure of AlInCl2. The functional is PBEsol.

Values from the calculation:
Symmetry: No. 47
Calculated total energy, eV/cell: -13.2
Excess energy over the best structure of this formula in the dataset, meV per atom: 149.0

abc: 3.1611 3.8664 7.4793
angles: 90.00 90.00 90.00
With the nearest neighbours (Å) after each atom.
Element x y z (fractional)
Al1 0.0000 0.0000 0.0000  4 Cl 2.61
In1 0.5000 0.0000 0.5000  2 In 3.16, 8 Cl 3.19
Cl1 0.0000 0.5000 0.2350  2 Al 2.61
Cl2 0.0000 0.5000 0.7650  2 Al 2.61

---

This record from Alexandria describes an optimized crystal structure of AlIn3Cl. The functional is PBEsol.

Values from the calculation:
Symmetry: No. 221
Calculated total energy, eV/cell: -12.9

abc: 5.4352 5.4352 5.4352
angles: 90.00 90.00 90.00
With the nearest neighbours (Å) after each atom.
Element x y z (fractional)
Al1 0.0000 0.0000 0.0000  12 In 3.84
In1 0.0000 0.5000 0.5000  2 Cl 2.72
In2 0.5000 0.0000 0.5000  2 Cl 2.72
In3 0.5000 0.5000 0.0000  2 Cl 2.72
Cl1 0.5000 0.5000 0.5000  6 In 2.72

---

This record from Alexandria describes an optimized crystal structure of AlInCl2. The functional is PBEsol.

Values from the calculation:
Symmetry: No. 6
Calculated total energy, eV/cell: -13.8
Excess energy over the best structure of this formula in the dataset, meV per atom: 0.0

abc: 5.6193 3.3370 5.7366
angles: 90.00 103.01 90.00
With the nearest neighbours (Å) after each atom.
Element x y z (fractional)
Al1 0.0000 0.0000 0.0000  3 Cl 2.22-2.40
In1 0.6399 0.5000 0.6305  2 Al 3.07, 3 Cl 3.16-3.20, 2 In 3.34
Cl1 0.0067 0.0000 0.3892  1 Al 2.22
Cl2 0.3098 0.5000 0.0094  2 Al 2.40

---

This record from Alexandria describes an optimized crystal structure of AlInCl2. The functional is PBEsol.

Values from the calculation:
Symmetry: No. 44
Calculated total energy, eV/cell: -13.3
Excess energy over the best structure of this formula in the dataset, meV per atom: 128.4

abc: 7.0725 7.0725 7.0725
angles: 152.95 140.14 48.83
With the nearest neighbours (Å) after each atom.
Element x y z (fractional)
Al1 0.0000 0.0000 0.0000  2 Cl 2.41
In1 0.8067 0.3067 0.5000  2 Al 2.99, 2 Cl 3.05, 2 In 3.31
Cl1 0.1366 0.6366 0.5000  2 Al 2.41
Cl2 0.4517 0.4517 0.0000  4 Al 2.99, 2 In 3.05, 2 Cl 3.31

---

This record from Alexandria describes an optimized crystal structure of Al2InCl2. The functional is PBEsol.

Values from the calculation:
Symmetry: No. 127
Calculated total energy, eV/cell: -32.8

abc: 7.7280 7.7280 4.4110
angles: 90.00 90.00 90.00
With the nearest neighbours (Å) after each atom.
Element x y z (fractional)
Al1 0.2401 0.2599 0.0000  2 Cl 2.48, 2 In 2.73
Al2 0.2599 0.7599 0.0000  2 Cl 2.48, 2 In 2.73
Al3 0.7401 0.2401 0.0000  2 Cl 2.48, 2 In 2.73
Al4 0.7599 0.7401 0.0000  2 Cl 2.48, 2 In 2.73
In1 0.0000 0.0000 0.0000  4 Al 2.73
In2 0.5000 0.5000 0.0000  4 Al 2.73
Cl1 0.1571 0.6571 0.5000  2 Al 2.48
Cl2 0.3429 0.1571 0.5000  2 Al 2.48
Cl3 0.6571 0.8429 0.5000  2 Al 2.48
Cl4 0.8429 0.3429 0.5000  2 Al 2.48

---

This record from Alexandria describes an optimized crystal structure of Al2IrCl. The functional is PBEsol.

Values from the calculation:
Symmetry: No. 47
Calculated total energy, eV/cell: -22.7
Excess energy over the best structure of this formula in the dataset, meV per atom: 0.0

abc: 2.9493 2.9836 7.2291
angles: 90.00 90.00 90.00
With the nearest neighbours (Å) after each atom.
Element x y z (fractional)
Al1 0.0000 0.0000 0.2093  2 Cl 2.58, 4 Ir 2.59
Al2 0.0000 0.0000 0.7907  2 Cl 2.58, 4 Ir 2.59
Ir1 0.5000 0.5000 0.0000  8 Al 2.59
Cl1 0.0000 0.5000 0.5000  4 Al 2.58

---

This record from Alexandria describes an optimized crystal structure of Al2IrCl. The functional is PBEsol.

Values from the calculation:
Symmetry: No. 216
Calculated total energy, eV/cell: -18.8
Excess energy over the best structure of this formula in the dataset, meV per atom: 971.9

abc: 4.4690 4.4690 4.4690
angles: 60.00 60.00 60.00
With the nearest neighbours (Å) after each atom.
Element x y z (fractional)
Al1 0.0000 0.0000 0.0000  4 Cl 2.74, 4 Al 2.74
Al2 0.2500 0.2500 0.2500  4 Ir 2.74, 4 Al 2.74
Ir1 0.5000 0.5000 0.5000  4 Cl 2.74, 4 Al 2.74
Cl1 0.7500 0.7500 0.7500  4 Al 2.74, 4 Ir 2.74

---

This record from Alexandria describes an optimized crystal structure of Al2IrCl. The functional is PBEsol.

Values from the calculation:
Symmetry: No. 225
Calculated total energy, eV/cell: -19.6
Excess energy over the best structure of this formula in the dataset, meV per atom: 777.6

abc: 4.4654 4.4654 4.4654
angles: 60.00 60.00 60.00
With the nearest neighbours (Å) after each atom.
Element x y z (fractional)
Al1 0.2500 0.2500 0.2500  4 Cl 2.73, 4 Ir 2.73
Al2 0.7500 0.7500 0.7500  4 Cl 2.73, 4 Ir 2.73
Ir1 0.0000 0.0000 0.0000  8 Al 2.73
Cl1 0.5000 0.5000 0.5000  8 Al 2.73

---

This record from Alexandria describes an optimized crystal structure of AlIr3Cl. The functional is PBEsol.

Values from the calculation:
Symmetry: No. 221
Calculated total energy, eV/cell: -28.4

abc: 4.3753 4.3753 4.3753
angles: 90.00 90.00 90.00
With the nearest neighbours (Å) after each atom.
Element x y z (fractional)
Al1 0.0000 0.0000 0.0000  12 Ir 3.09
Ir1 0.0000 0.5000 0.5000  2 Cl 2.19
Ir2 0.5000 0.0000 0.5000  2 Cl 2.19
Ir3 0.5000 0.5000 0.0000  2 Cl 2.19
Cl1 0.5000 0.5000 0.5000  6 Ir 2.19

---

This record from Alexandria describes an optimized crystal structure of Al2IrCl. The functional is PBEsol.

Values from the calculation:
Symmetry: No. 123
Calculated total energy, eV/cell: -21.9
Excess energy over the best structure of this formula in the dataset, meV per atom: 205.7

abc: 2.9342 2.9342 7.3469
angles: 90.00 90.00 90.00
With the nearest neighbours (Å) after each atom.
Element x y z (fractional)
Al1 0.0000 0.0000 0.2116  4 Ir 2.59
Al2 0.0000 0.0000 0.7884  4 Ir 2.59
Ir1 0.5000 0.5000 0.0000  8 Al 2.59
Cl1 0.5000 0.5000 0.5000  4 Cl 2.93, 8 Al 2.97

---

This record from Alexandria describes an optimized crystal structure of Al2IrClO. The functional is PBEsol.

Values from the calculation:
Symmetry: No. 123
Calculated total energy, eV/cell: -27.1

abc: 4.9209 4.9209 3.7894
angles: 90.00 90.00 90.00
With the nearest neighbours (Å) after each atom.
Element x y z (fractional)
Al1 0.0000 0.5000 0.0000  2 Ir 2.46
Al2 0.5000 0.0000 0.0000  2 Ir 2.46
Ir1 0.0000 0.0000 0.0000  2 O 1.89
Cl1 0.5000 0.5000 0.5000  8 Al 3.11
O1 0.0000 0.0000 0.5000  2 Ir 1.89

---

This record from Alexandria describes an optimized crystal structure of K3AlCl6. The functional is PBEsol.

Values from the calculation:
Symmetry: No. 225
Calculated total energy, eV/cell: -37.2

abc: 7.3474 7.3474 7.3474
angles: 60.00 60.00 60.00
With the nearest neighbours (Å) after each atom.
Element x y z (fractional)
K1 0.0000 0.0000 0.0000  6 Cl 2.88
K2 0.2500 0.2500 0.2500  12 Cl 3.68
K3 0.7500 0.7500 0.7500  12 Cl 3.68
Al1 0.5000 0.5000 0.5000  6 Cl 2.31
Cl1 0.2774 0.2774 0.7226  1 Al 2.31
Cl2 0.2774 0.7226 0.2774  1 Al 2.31
Cl3 0.2774 0.7226 0.7226  1 Al 2.31
Cl4 0.7226 0.2774 0.2774  1 Al 2.31
Cl5 0.7226 0.2774 0.7226  1 Al 2.31
Cl6 0.7226 0.7226 0.2774  1 Al 2.31

---

This record from Alexandria describes an optimized crystal structure of KAlCl2. The functional is PBEsol.

Values from the calculation:
Symmetry: No. 119
Calculated total energy, eV/cell: -13.1
Excess energy over the best structure of this formula in the dataset, meV per atom: 164.9

abc: 6.8467 6.8467 6.8467
angles: 144.56 144.56 51.00
With the nearest neighbours (Å) after each atom.
Element x y z (fractional)
K1 0.0000 0.0000 0.0000  4 Cl 2.95
Al1 0.7500 0.2500 0.5000  4 Cl 2.95
Cl1 0.2500 0.7500 0.5000  4 Al 2.95
Cl2 0.5000 0.5000 0.0000  4 K 2.95

---

This record from Alexandria describes an optimized crystal structure of KAl3Cl. The functional is PBEsol.

Values from the calculation:
Symmetry: No. 221
Calculated total energy, eV/cell: -13.1

abc: 5.3084 5.3084 5.3084
angles: 90.00 90.00 90.00
With the nearest neighbours (Å) after each atom.
Element x y z (fractional)
K1 0.0000 0.0000 0.0000  12 Al 3.75
Al1 0.0000 0.5000 0.5000  2 Cl 2.65
Al2 0.5000 0.0000 0.5000  2 Cl 2.65
Al3 0.5000 0.5000 0.0000  2 Cl 2.65
Cl1 0.5000 0.5000 0.5000  6 Al 2.65

---

This record from Alexandria describes an optimized crystal structure of KAlCl2. The functional is PBEsol.

Values from the calculation:
Symmetry: No. 99
Calculated total energy, eV/cell: -13.7
Excess energy over the best structure of this formula in the dataset, meV per atom: 0.0

abc: 4.1713 4.1713 6.2397
angles: 90.00 90.00 90.00
With the nearest neighbours (Å) after each atom.
Element x y z (fractional)
K1 0.0000 0.0000 0.0000  6 Cl 3.10-3.14
Al1 0.5000 0.5000 0.4534  1 Cl 2.39
Cl1 0.0000 0.0000 0.4971  4 Al 2.96, 2 K 3.10-3.14
Cl2 0.5000 0.5000 0.8367  1 Al 2.39

---

Number 1: total moment 0.00 μB per formula unit, density 6.14 g/cm3, E_form (uncorrected) -0.07 eV/atom. Number 2: total moment 0.00 μB per formula unit, density 3.07 g/cm3, E_form (uncorrected) -1.21 eV/atom. Number 3: total moment 0.00 μB per formula unit, density 5.41 g/cm3, E_form (uncorrected) -0.60 eV/atom. Number 4: total moment 0.21 μB per formula unit, density 2.44 g/cm3, E_form (uncorrected) -2.66 eV/atom. Number 5: total moment 0.00 μB per formula unit, density 3.99 g/cm3, E_form (uncorrected) -0.50 eV/atom. Number 6: total moment 0.00 μB per formula unit, density 3.86 g/cm3, E_form (uncorrected) -0.53 eV/atom. Number 7: total moment 0.00 μB per formula unit, density 4.21 g/cm3, E_form (uncorrected) 0.42 eV/atom. Number 8: total moment 0.00 μB per formula unit, density 3.37 g/cm3, E_form (uncorrected) -0.68 eV/atom. Number 9: total moment 0.00 μB per formula unit, density 3.44 g/cm3, E_form (uncorrected) -0.55 eV/atom. Number 10: total moment 0.00 μB per formula unit, density 3.02 g/cm3, E_form (uncorrected) -0.24 eV/atom. Number 11: total moment 0.00 μB per formula unit, density 7.35 g/cm3, E_form (uncorrected) -0.68 eV/atom. Number 12: total moment 0.00 μB per formula unit, density 7.41 g/cm3, E_form (uncorrected) 0.30 eV/atom. Number 13: total moment 0.00 μB per formula unit, density 7.43 g/cm3, E_form (uncorrected) 0.10 eV/atom. Number 14: total moment 0.00 μB per formula unit, density 12.67 g/cm3, E_form (uncorrected) 1.44 eV/atom. Number 15: total moment 0.00 μB per formula unit, density 7.39 g/cm3, E_form (uncorrected) -0.47 eV/atom. Number 16: total moment 0.00 μB per formula unit, density 5.39 g/cm3, E_form (uncorrected) -0.37 eV/atom. Number 17: total moment 0.00 μB per formula unit, density 2.11 g/cm3, E_form (uncorrected) -1.76 eV/atom. Number 18: total moment 0.00 μB per formula unit, density 2.12 g/cm3, E_form (uncorrected) -0.96 eV/atom. Number 19: total moment 0.00 μB per formula unit, density 1.73 g/cm3, E_form (uncorrected) 0.46 eV/atom. Number 20: total moment 0.00 μB per formula unit, density 2.10 g/cm3, E_form (uncorrected) -1.12 eV/atom.